Entry 1:
This record from Alexandria describes SnHgBr4 after structural relaxation. The functional is PBE.

As for the relative energy among the computed polymorphs: 0.000 eV/atom. As for the space group: No. 15. The formation energy (no corrections) comes out at -0.590 eV/atom.

a = 10.0306 Å, b = 10.0306 Å, c = 7.2283 Å
α = 109.76°, β = 109.76°, γ = 120.28°
Element x y z (fractional)
Sn (0.1882, 0.8118, 0.7500)
Sn (0.8118, 0.1882, 0.2500)
Hg (0.4335, 0.5665, 0.2500)
Hg (0.5665, 0.4335, 0.7500)
Br (0.1205, 0.5287, 0.8043)
Br (0.1802, 0.2885, 0.2100)
Br (0.2885, 0.1802, 0.7100)
Br (0.4713, 0.8795, 0.6957)
Br (0.5287, 0.1205, 0.3043)
Br (0.7115, 0.8198, 0.2900)
Br (0.8198, 0.7115, 0.7900)
Br (0.8795, 0.4713, 0.1957)

***

Entry 2:
This record from Alexandria describes Er6Ga3Co after structural relaxation. The functional is PBE.

As for the space group: No. 14. The total energy comes out at -4.68 eV per atom.

a = 5.8383 Å, b = 8.2963 Å, c = 11.6478 Å
α = 90.00°, β = 118.74°, γ = 90.00°
Element x y z (fractional)
Er (0.0499, 0.1639, 0.4343)
Er (0.0499, 0.3361, 0.9343)
Er (0.3362, 0.6909, 0.4352)
Er (0.3362, 0.8091, 0.9352)
Er (0.3895, 0.0452, 0.2658)
Er (0.3895, 0.4548, 0.7658)
Er (0.6105, 0.5452, 0.2342)
Er (0.6105, 0.9548, 0.7342)
Er (0.6638, 0.1909, 0.0648)
Er (0.6638, 0.3091, 0.5648)
Er (0.9501, 0.6639, 0.0657)
Er (0.9501, 0.8361, 0.5657)
Ga (0.0000, 0.0000, 0.0000)
Ga (0.0000, 0.5000, 0.5000)
Ga (0.1628, 0.1138, 0.7596)
Ga (0.1628, 0.3862, 0.2596)
Ga (0.8372, 0.6138, 0.7404)
Ga (0.8372, 0.8862, 0.2404)
Co (0.5000, 0.0000, 0.5000)
Co (0.5000, 0.5000, 0.0000)

***

Entry 3:
This record from Alexandria describes CsHoTeSe after structural relaxation. The functional is PBE.

As for the space group: No. 160. The formation energy (no corrections) comes out at -1.521 eV/atom.

a = 9.1206 Å, b = 9.1206 Å, c = 9.1206 Å
α = 27.71°, β = 27.71°, γ = 27.71°
Element x y z (fractional)
Cs (0.0000, 0.0000, 0.0000)
Ho (0.8399, 0.8399, 0.8399)
Te (0.4386, 0.4386, 0.4386)
Se (0.2294, 0.2294, 0.2294)

***

Entry 4:
This record from Alexandria describes TaNiPd6 after structural relaxation. The functional is PBE.

As for the relative energy among the computed polymorphs: 0.000 eV/atom. As for the space group: No. 139.

a = 8.2931 Å, b = 8.2931 Å, c = 8.2931 Å
α = 152.60°, β = 152.60°, γ = 39.13°
Element x y z (fractional)
Ta (0.0000, 0.0000, 0.0000)
Ni (0.5000, 0.5000, 0.0000)
Pd (0.1176, 0.6176, 0.5000)
Pd (0.2526, 0.2526, 0.0000)
Pd (0.3824, 0.8824, 0.5000)
Pd (0.6176, 0.1176, 0.5000)
Pd (0.7474, 0.7474, 0.0000)
Pd (0.8824, 0.3824, 0.5000)

***

Entry 5:
This record from Alexandria describes ScPd3Pt4 after structural relaxation. The functional is PBE.

As for the relative energy among the computed polymorphs: 0.000 eV/atom. As for the space group: No. 13.

a = 4.9024 Å, b = 5.6436 Å, c = 9.2898 Å
α = 90.00°, β = 99.34°, γ = 90.00°
Element x y z (fractional)
Sc (0.0000, 0.1221, 0.2500)
Sc (0.0000, 0.8779, 0.7500)
Pd (0.2517, 0.1272, 0.0006)
Pd (0.2517, 0.8728, 0.5006)
Pd (0.5000, 0.1321, 0.7500)
Pd (0.5000, 0.8679, 0.2500)
Pd (0.7483, 0.1272, 0.4994)
Pd (0.7483, 0.8728, 0.9994)
Pt (0.0000, 0.3762, 0.7500)
Pt (0.0000, 0.6238, 0.2500)
Pt (0.2478, 0.3750, 0.4987)
Pt (0.2478, 0.6250, 0.9987)
Pt (0.5000, 0.3705, 0.2500)
Pt (0.5000, 0.6295, 0.7500)
Pt (0.7522, 0.3750, 0.0013)
Pt (0.7522, 0.6250, 0.5013)

***

Entry 6:
This record from Alexandria describes Ta2Hg3 after structural relaxation. The functional is PBE.

As for the relative energy among the computed polymorphs: 0.255 eV/atom. As for the space group: No. 164.

a = 4.7480 Å, b = 4.7480 Å, c = 5.8218 Å
α = 90.00°, β = 90.00°, γ = 120.00°
Element x y z (fractional)
Ta (0.3333, 0.6667, 0.3899)
Ta (0.6667, 0.3333, 0.6101)
Hg (0.0000, 0.0000, 0.5000)
Hg (0.3333, 0.6667, 0.8835)
Hg (0.6667, 0.3333, 0.1165)

***

Entry 7:
This record from Alexandria describes Li2LaNd2Pb2 after structural relaxation. The functional is PBE.

As for the space group: No. 166. The total energy comes out at -4.04 eV per atom.

a = 9.8376 Å, b = 9.8376 Å, c = 9.8376 Å
α = 29.04°, β = 29.04°, γ = 29.04°
Element x y z (fractional)
Li (0.0904, 0.0904, 0.0904)
Li (0.9096, 0.9096, 0.9096)
La (0.5000, 0.5000, 0.5000)
Nd (0.3694, 0.3694, 0.3694)
Nd (0.6306, 0.6306, 0.6306)
Pb (0.2373, 0.2373, 0.2373)
Pb (0.7627, 0.7627, 0.7627)

***

Entry 8:
This record from Alexandria describes ZnAsHAu2 after structural relaxation. The functional is PBE.

As for the space group: No. 123. The total energy comes out at -2.85 eV per atom.

a = 4.0080 Å, b = 4.0080 Å, c = 4.7875 Å
α = 90.00°, β = 90.00°, γ = 90.00°
Element x y z (fractional)
Zn (0.0000, 0.0000, 0.0000)
As (0.5000, 0.5000, 0.0000)
H (0.5000, 0.5000, 0.5000)
Au (0.0000, 0.5000, 0.5000)
Au (0.5000, 0.0000, 0.5000)

***

Entry 9:
This record from Alexandria describes SrTa2Hg after structural relaxation. The functional is PBE.

As for the space group: No. 8. The total energy comes out at -5.82 eV per atom.

a = 5.1469 Å, b = 5.1469 Å, c = 6.6434 Å
α = 96.37°, β = 96.37°, γ = 33.98°
Element x y z (fractional)
Sr (0.0000, 0.0000, 0.0000)
Ta (0.5143, 0.5143, 0.4590)
Ta (0.7781, 0.7781, 0.3527)
Hg (0.2431, 0.2431, 0.7311)

***

Entry 10:
This record from Alexandria describes Ce7SnPt2 after structural relaxation. The functional is PBE.

As for the space group: No. 65. The total energy comes out at -6.03 eV per atom.

a = 8.0841 Å, b = 8.0841 Å, c = 5.3051 Å
α = 90.00°, β = 90.00°, γ = 109.71°
Element x y z (fractional)
Ce (0.0000, 0.0000, 0.0000)
Ce (0.2055, 0.4148, 0.0000)
Ce (0.2316, 0.7684, 0.5000)
Ce (0.4148, 0.2055, 0.0000)
Ce (0.5852, 0.7945, 0.0000)
Ce (0.7684, 0.2316, 0.5000)
Ce (0.7945, 0.5852, 0.0000)
Sn (0.5000, 0.5000, 0.5000)
Pt (0.2138, 0.7862, 0.0000)
Pt (0.7862, 0.2138, 0.0000)

***

Entry 11:
This record from Alexandria describes VSi3Pt after structural relaxation. The functional is PBE.

As for the space group: No. 221. The formation energy (no corrections) comes out at 0.730 eV/atom.

a = 4.5172 Å, b = 4.5172 Å, c = 4.5172 Å
α = 90.00°, β = 90.00°, γ = 90.00°
Element x y z (fractional)
V (0.0000, 0.0000, 0.0000)
Si (0.0000, 0.0000, 0.5000)
Si (0.0000, 0.5000, 0.0000)
Si (0.5000, 0.0000, 0.0000)
Pt (0.5000, 0.5000, 0.5000)

***

Entry 12:
This record from Alexandria describes NaGeBi2 after structural relaxation. The functional is PBE.

As for the space group: No. 123. The total energy comes out at -3.43 eV per atom.

a = 4.9491 Å, b = 4.9491 Å, c = 4.3935 Å
α = 90.00°, β = 90.00°, γ = 90.00°
Element x y z (fractional)
Na (0.0000, 0.0000, 0.0000)
Ge (0.5000, 0.5000, 0.0000)
Bi (0.0000, 0.5000, 0.5000)
Bi (0.5000, 0.0000, 0.5000)

***

Entry 13:
This record from Alexandria describes CsKNaGe2 after structural relaxation. The functional is PBE.

As for the space group: No. 123. The total energy comes out at -2.10 eV per atom.

a = 5.5456 Å, b = 5.5456 Å, c = 6.0157 Å
α = 90.00°, β = 90.00°, γ = 90.00°
Element x y z (fractional)
Cs (0.0000, 0.0000, 0.0000)
K (0.5000, 0.5000, 0.0000)
Na (0.5000, 0.5000, 0.5000)
Ge (0.0000, 0.5000, 0.5000)
Ge (0.5000, 0.0000, 0.5000)

***

Entry 14:
This record from Alexandria describes Cr8Ni after structural relaxation. The functional is PBE.

As for the space group: No. 139. The total energy comes out at -9.11 eV per atom.

a = 6.1882 Å, b = 6.1882 Å, c = 6.1882 Å
α = 93.08°, β = 93.08°, γ = 153.18°
Element x y z (fractional)
Cr (0.0000, 0.3319, 0.3319)
Cr (0.0000, 0.6681, 0.6681)
Cr (0.3291, 0.3291, 0.6582)
Cr (0.3291, 0.6709, 0.0000)
Cr (0.3319, 0.0000, 0.3319)
Cr (0.6681, 0.0000, 0.6681)
Cr (0.6709, 0.3291, 0.0000)
Cr (0.6709, 0.6709, 0.3418)
Ni (0.0000, 0.0000, 0.0000)

***

Entry 15:
This record from Alexandria describes Rb4Np3CdTe8 after structural relaxation. The functional is PBE.

As for the space group: No. 166. The formation energy (no corrections) comes out at -0.810 eV/atom.

a = 10.0017 Å, b = 10.0017 Å, c = 10.0017 Å
α = 54.69°, β = 54.69°, γ = 54.69°
Element x y z (fractional)
Rb (0.0000, 0.0000, 0.0000)
Rb (0.0000, 0.5000, 0.5000)
Rb (0.5000, 0.0000, 0.5000)
Rb (0.5000, 0.5000, 0.0000)
Np (0.0000, 0.0000, 0.5000)
Np (0.0000, 0.5000, 0.0000)
Np (0.5000, 0.0000, 0.0000)
Cd (0.5000, 0.5000, 0.5000)
Te (0.2313, 0.7324, 0.7324)
Te (0.2330, 0.2330, 0.2330)
Te (0.2676, 0.2676, 0.7687)
Te (0.2676, 0.7687, 0.2676)
Te (0.7324, 0.2313, 0.7324)
Te (0.7324, 0.7324, 0.2313)
Te (0.7670, 0.7670, 0.7670)
Te (0.7687, 0.2676, 0.2676)

***

Entry 16:
This record from Alexandria describes SrY2Ir after structural relaxation. The functional is PBE.

As for the relative energy among the computed polymorphs: 0.086 eV/atom. As for the space group: No. 38.

a = 3.8427 Å, b = 8.4341 Å, c = 8.4341 Å
α = 28.56°, β = 90.00°, γ = 90.00°
Element x y z (fractional)
Sr (0.0000, 0.0000, 0.0000)
Y (0.0000, 0.6884, 0.6884)
Y (0.5000, 0.3257, 0.3257)
Ir (0.5000, 0.1621, 0.1621)

***

Entry 17:
This record from Alexandria describes Al3Si2Ni after structural relaxation. The functional is PBE.

As for the relative energy among the computed polymorphs: 0.599 eV/atom. As for the space group: No. 191. The formation energy (no corrections) comes out at 0.519 eV/atom.

a = 5.1131 Å, b = 5.1131 Å, c = 4.3927 Å
α = 90.00°, β = 90.00°, γ = 120.00°
Element x y z (fractional)
Al (0.0000, 0.5000, 0.0000)
Al (0.5000, 0.0000, 0.0000)
Al (0.5000, 0.5000, 0.0000)
Si (0.3333, 0.6667, 0.5000)
Si (0.6667, 0.3333, 0.5000)
Ni (0.0000, 0.0000, 0.5000)

***

Entry 18:
This record from Alexandria describes Ce6MgIn5 after structural relaxation. The functional is PBE.

As for the space group: No. 65. The total energy comes out at -4.55 eV per atom.

a = 7.3922 Å, b = 7.3922 Å, c = 9.7252 Å
α = 90.00°, β = 90.00°, γ = 143.12°
Element x y z (fractional)
Ce (0.0000, 0.0000, 0.2482)
Ce (0.0000, 0.0000, 0.7518)
Ce (0.3331, 0.6669, 0.2489)
Ce (0.3331, 0.6669, 0.7511)
Ce (0.6669, 0.3331, 0.2489)
Ce (0.6669, 0.3331, 0.7511)
Mg (0.5000, 0.5000, 0.5000)
In (0.1641, 0.8359, 0.5000)
In (0.1672, 0.8328, 0.0000)
In (0.5000, 0.5000, 0.0000)
In (0.8328, 0.1672, 0.0000)
In (0.8359, 0.1641, 0.5000)

***

Entry 19:
This record from Alexandria describes La2CrCo after structural relaxation. The functional is PBE.

As for the relative energy among the computed polymorphs: 0.195 eV/atom. As for the space group: No. 166.

a = 8.4237 Å, b = 8.4237 Å, c = 8.4237 Å
α = 27.04°, β = 27.04°, γ = 27.04°
Element x y z (fractional)
La (0.2321, 0.2321, 0.2321)
La (0.7679, 0.7679, 0.7679)
Cr (0.0000, 0.0000, 0.0000)
Co (0.5000, 0.5000, 0.5000)

***

Entry 20:
This record from Alexandria describes InIr after structural relaxation. The functional is PBE.

As for the space group: No. 59. The total energy comes out at -5.67 eV per atom.

a = 3.0789 Å, b = 4.9006 Å, c = 4.6867 Å
α = 90.00°, β = 90.00°, γ = 90.00°
Element x y z (fractional)
In (0.2500, 0.2500, 0.1113)
In (0.7500, 0.7500, 0.8887)
Ir (0.2500, 0.7500, 0.3965)
Ir (0.7500, 0.2500, 0.6035)